# 1
PBE La3CoSn, relaxed; ΔH_f (0 K) = -0.299 eV/atom; space-group type = No. 12; polymorph energy (0 for the lowest one) = 14.4 kJ per mole of atoms
1.0
-13.733 -3.431 -14.661
-3.203 -4.529 -6.483
3.073 -0.995 7.897
Co Sn La
2 2 6
direct
0.102 0.638 0.362
0.898 0.362 0.638
0.539 0.105 0.895
0.461 0.895 0.105
0.797 0.333 0.667
0.203 0.667 0.333
0.833 0.593 0.407
0.167 0.407 0.593
0.301 0.887 0.113
0.699 0.113 0.887

# 2
PBE SmB3Ir6, relaxed; ΔH_f (0 K) = -0.387 eV/atom; space-group type = No. 1
1.0
4.800 0.002 -2.668
-2.928 4.625 0.293
0.062 0.414 6.078
Sm B Ir
1 3 6
direct
0.937 0.955 0.925
0.612 0.253 0.965
0.334 0.702 0.964
0.336 0.280 0.409
0.300 0.423 0.705
0.139 0.542 0.231
0.695 0.030 0.282
0.222 0.906 0.586
0.810 0.409 0.708
0.616 0.501 0.224

# 3
PBE ThPaSeN2, relaxed; space-group type = No. 107; energy relative to the elements, uncorrected = -8.88 eV/f.u.
1.0
-0.341 1.837 3.465
-0.822 -3.435 1.740
6.637 -0.106 -1.527
Th Pa Se N
1 1 1 2
direct
0.850 0.850 0.699
0.156 0.156 0.311
0.502 0.502 0.005
0.746 0.246 0.492
0.246 0.746 0.492

Calculated values (eV/cell) of calculated total energy for the records, taken in order: -54.8 -81.8 -45.9.